[1]
Entry from the Open Quantum Materials Database: a relaxed structure of LaPrTm (PBE).

The structure in CIF format:
```
data_LaPrTm
_chemical_formula_sum 'La4 Pr4 Tm4'
_cell_length_a 7.853
_cell_length_b 7.853
_cell_length_c 7.853
_cell_angle_alpha 90.00
_cell_angle_beta 90.00
_cell_angle_gamma 90.00
_symmetry_space_group_name_H-M 'F -4 3 m'
_symmetry_Int_Tables_number 216
_symmetry_space_group_name_Hall 'F -4 2 3'
loop_
_atom_site_label
_atom_site_type_symbol
_atom_site_fract_x
_atom_site_fract_y
_atom_site_fract_z
La1 La 0.000 0.000 0.000
Pr1 Pr 0.000 0.000 0.500
Tm1 Tm 0.250 0.250 0.250
```

The value obtained for the relative energy among the computed polymorphs is 0.000 eV/atom. For the formation energy, the calculation gives 0.65 eV per atom.



[2]
Entry from the Open Quantum Materials Database: a relaxed structure of ErAsN2O (PBE).

The structure in CIF format:
```
data_ErAsN2O
_chemical_formula_sum 'Er6 As6 N12 O6'
_cell_length_a 6.3034
_cell_length_b 6.3034
_cell_length_c 11.2224
_cell_angle_alpha 90.00
_cell_angle_beta 90.00
_cell_angle_gamma 120.00
_symmetry_space_group_name_H-M 'P 63 c m'
_symmetry_Int_Tables_number 185
_symmetry_space_group_name_Hall 'P 6c -2'
loop_
_atom_site_label
_atom_site_type_symbol
_atom_site_fract_x
_atom_site_fract_y
_atom_site_fract_z
Er1 Er 0.0000 0.0000 0.0000
Er2 Er 0.3333 0.6667 0.4684
As1 As 0.0000 0.3339 0.2320
N1 N 0.0000 0.3122 0.3875
N2 N 0.0000 0.3551 0.0776
O1 O 0.0000 0.0000 0.2092
O2 O 0.3333 0.6667 0.2510
```

For the total energy, the calculation gives -208.88 eV/cell.



[3]
Entry from the Open Quantum Materials Database: a relaxed structure of K2TbGe2O7 (PBE).

The structure in CIF format:
```
data_K2TbGe2O7
_chemical_formula_sum 'K8 Tb4 Ge8 O28'
_cell_length_a 10.203
_cell_length_b 5.700
_cell_length_c 13.067
_cell_angle_alpha 90.00
_cell_angle_beta 105.71
_cell_angle_gamma 90.00
_symmetry_space_group_name_H-M 'C 1 2/c 1'
_symmetry_Int_Tables_number 15
_symmetry_space_group_name_Hall '-C 2yc'
loop_
_atom_site_label
_atom_site_type_symbol
_atom_site_fract_x
_atom_site_fract_y
_atom_site_fract_z
K1 K 0.157 0.209 0.187
Tb1 Tb 0.250 0.250 0.500
Ge1 Ge 0.018 0.281 0.872
O1 O 0.000 0.116 0.750
O2 O 0.097 0.070 0.972
O3 O 0.121 0.477 0.370
O4 O 0.145 0.355 0.622
```

For the total energy, the calculation gives -300.26 eV/cell.



[4]
Entry from the Open Quantum Materials Database: a relaxed structure of RbSmSe2O8 (PBE).

The structure in CIF format:
```
data_RbSmSe2O8
_chemical_formula_sum 'Rb1 Sm1 Se2 O8'
_cell_length_a 5.7309
_cell_length_b 5.7309
_cell_length_c 7.6027
_cell_angle_alpha 90.00
_cell_angle_beta 90.00
_cell_angle_gamma 120.00
_symmetry_space_group_name_H-M 'P -3 m 1'
_symmetry_Int_Tables_number 164
_symmetry_space_group_name_Hall '-P 3 2"'
loop_
_atom_site_label
_atom_site_type_symbol
_atom_site_fract_x
_atom_site_fract_y
_atom_site_fract_z
Rb1 Rb 0.0000 0.0000 0.0000
Sm1 Sm 0.0000 0.0000 0.5000
Se1 Se 0.3333 0.6667 0.2298
O1 O 0.1770 0.3539 0.3108
O2 O 0.3333 0.6667 0.0144
```

For the total energy, the calculation gives -70.42 eV/cell.



no.,volume (Å³/cell)
1,484.4
2,386.2
3,731.5
4,216.2